No. 1
# ZrTa2CI

A relaxed ZrTa2CI crystal (PBE, Alexandria via LeMat-Bulk).

Values from the calculation:
Crystal system: tetragonal
DFT total energy (eV/atom): -8.240

Cell: 4.313 4.313 4.880 Å, 90.00 90.00 90.00°
Space group P4/mmm (No. 123)
Asymmetric unit:
Zr  0.000  0.000  0.000 (multiplicity 1)
Ta  0.000  0.500  0.500 (multiplicity 2)
C  0.000  0.000  0.500 (multiplicity 1)
I  0.500  0.500  0.000 (multiplicity 1)

No. 2
# Tb4C2I5

A relaxed Tb4C2I5 crystal (PBE, Alexandria via LeMat-Bulk).

Values from the calculation:
Crystal system: monoclinic
DFT total energy (eV/atom): -5.114

Cell: 19.833 3.932 8.603 Å, 90.00 102.76 90.00°
Space group C2/m (No. 12)
Asymmetric unit:
Tb  0.000  0.000  0.186 (multiplicity 4)
Tb  0.149  0.500  0.078 (multiplicity 4)
C  0.036  0.500  0.018 (multiplicity 4)
I  0.000  0.500  0.500 (multiplicity 2)
I  0.161  0.000  0.353 (multiplicity 4)
I  0.168  0.000  0.814 (multiplicity 4)

No. 3
# Tb3CI7

A relaxed Tb3CI7 crystal (PBE, Alexandria via LeMat-Bulk).

Values from the calculation:
Crystal system: trigonal
DFT total energy (eV/atom): -3.998

Cell: 8.5424 8.5424 7.7599 Å, 90.00 90.00 120.00°
Space group P3m1 (No. 156)
Asymmetric unit:
Tb  0.0240  0.5120  0.0000 (multiplicity 3)
C  0.3333  0.6667  0.0831 (multiplicity 1)
I  0.1649  0.3298  0.7548 (multiplicity 3)
I  0.3348  0.1674  0.2216 (multiplicity 3)
I  0.6667  0.3333  0.7640 (multiplicity 1)

Record order is preserved below.
Energy relative to the elements, uncorrected: 1.826 -11.532 -10.008 eV per formula unit